Record 1
Here is an optimized crystal structure of NiPdCl4 from Alexandria. Energies are from GGA-PBE.

abc: 3.5946 6.2859 12.7355
angles: 87.94 90.00 90.00
Last column: nearest neighbours and their distance in Å.
Positions (direct):
Ni: 0.0000 0.0000 0.5000  6 Cl 2.40-2.43
Ni: 0.5000 0.5000 0.0000  6 Cl 2.40-2.43
Pd: 0.5000 0.5000 0.5000  6 Cl 2.53-2.54
Pd: 0.0000 0.0000 0.0000  6 Cl 2.53-2.54
Cl: 0.5000 0.1620 0.3969  2 Ni 2.43, 1 Pd 2.54
Cl: 0.0000 0.3380 0.1031  2 Ni 2.43, 1 Pd 2.54
Cl: 0.5000 0.8380 0.6031  2 Ni 2.43, 1 Pd 2.54
Cl: 0.0000 0.6620 0.8969  2 Ni 2.43, 1 Pd 2.54
Cl: 0.0000 0.6929 0.3938  1 Ni 2.40, 2 Pd 2.53
Cl: 0.5000 0.8071 0.1062  1 Ni 2.40, 2 Pd 2.53
Cl: 0.0000 0.3071 0.6062  1 Ni 2.40, 2 Pd 2.53
Cl: 0.5000 0.1929 0.8938  1 Ni 2.40, 2 Pd 2.53

relative energy among the computed polymorphs	21.4	meV/atom
magnetic moment	4.01	μB/f.u.
formation energy without anion corrections	-440.7	meV per atom

Record 2
Here is an optimized crystal structure of SmDy6 from Alexandria. Energies are from GGA-PBE.

abc: 6.5044 6.5044 10.9888
angles: 90.00 90.00 90.00
Last column: nearest neighbours and their distance in Å.
Positions (direct):
Sm: 0.5000 0.0000 0.0000  8 Dy 3.60
Sm: 0.0000 0.5000 0.0000  8 Dy 3.60
Dy: 0.5000 0.5000 0.1404  5 Dy 3.09-3.44
Dy: 0.0000 0.0000 0.1404  5 Dy 3.09-3.44
Dy: 0.0000 0.0000 0.8596  5 Dy 3.09-3.44
Dy: 0.5000 0.5000 0.8596  5 Dy 3.09-3.44
Dy: 0.8319 0.6681 0.3625  8 Dy 3.09-3.44
Dy: 0.3319 0.8319 0.3625  8 Dy 3.09-3.44
Dy: 0.6681 0.1681 0.3625  8 Dy 3.09-3.44
Dy: 0.1681 0.3319 0.3625  8 Dy 3.09-3.44
Dy: 0.6681 0.8319 0.6375  8 Dy 3.09-3.44
Dy: 0.1681 0.6681 0.6375  8 Dy 3.09-3.44
Dy: 0.8319 0.3319 0.6375  8 Dy 3.09-3.44
Dy: 0.3319 0.1681 0.6375  8 Dy 3.09-3.44

ΔH_f (0 K)	25	kJ/mol of atoms
relative energy among the computed polymorphs	0.0	meV/atom
magnetic moment	0.00	μB/f.u.

Record 3
Here is an optimized crystal structure of NdSm4DyTm2 from Alexandria. Energies are from GGA-PBE.

abc: 9.5251 9.5251 11.8402
angles: 128.44 128.44 88.25
Last column: nearest neighbours and their distance in Å.
Positions (direct):
Nd: 0.0000 0.5000 0.0000  6 Sm 3.36-3.42, 2 Tm 3.42
Nd: 0.0000 0.5000 0.5000  6 Sm 3.36-3.42, 2 Tm 3.42
Sm: 0.2518 0.7475 0.9993  3 Tm 3.29-3.42, 1 Dy 3.34, 2 Nd 3.41-3.42, 2 Sm 3.41-3.42
Sm: 0.7525 0.2482 0.5007  3 Tm 3.29-3.42, 1 Dy 3.34, 2 Nd 3.41-3.42, 2 Sm 3.41-3.42
Sm: 0.2475 0.7518 0.4993  3 Tm 3.29-3.42, 1 Dy 3.34, 2 Nd 3.41-3.42, 2 Sm 3.41-3.42
Sm: 0.7482 0.2525 0.0007  3 Tm 3.29-3.42, 1 Dy 3.34, 2 Nd 3.41-3.42, 2 Sm 3.41-3.42
Sm: 0.7426 0.7489 0.9968  3 Tm 3.27-3.42, 1 Nd 3.36, 2 Dy 3.41-3.44, 2 Sm 3.42
Sm: 0.7511 0.7574 0.5032  3 Tm 3.27-3.42, 1 Nd 3.36, 2 Dy 3.41-3.44, 2 Sm 3.42
Sm: 0.2489 0.2426 0.4968  3 Tm 3.27-3.42, 1 Nd 3.36, 2 Dy 3.41-3.44, 2 Sm 3.42
Sm: 0.2574 0.2511 0.0032  3 Tm 3.27-3.42, 1 Nd 3.36, 2 Dy 3.41-3.44, 2 Sm 3.42
Dy: 0.5000 0.5000 0.5000  6 Sm 3.34-3.44, 2 Dy 3.42
Dy: 0.0000 0.0000 0.0000  6 Sm 3.34-3.44, 2 Dy 3.42
Tm: 0.5000 0.0000 0.0000  6 Sm 3.27-3.42, 2 Nd 3.42
Tm: 0.5000 0.0000 0.5000  6 Sm 3.27-3.42, 2 Nd 3.42
Tm: 0.0000 0.0000 0.5000  6 Sm 3.29-3.42, 2 Tm 3.42
Tm: 0.5000 0.5000 0.0000  6 Sm 3.29-3.42, 2 Tm 3.42

ΔH_f (0 K)	40	kJ/mol of atoms
magnetic moment	0.88	μB/f.u.

Record 4
Here is an optimized crystal structure of YOsCl2 from Alexandria. Energies are from GGA-PBE.

abc: 3.1927 3.1928 8.9442
angles: 90.00 90.00 90.06
Last column: nearest neighbours and their distance in Å.
Positions (direct):
Y: 0.5000 0.5000 0.7295  4 Cl 2.87, 4 Os 3.00, 4 Y 3.19
Os: 0.0000 0.0000 0.5083  4 Cl 2.74, 4 Y 3.00
Cl: 0.0000 0.0000 0.9276  4 Y 2.87, 4 Cl 3.19
Cl: 0.5000 0.5000 0.3346  4 Os 2.74

relative energy among the computed polymorphs	239.9	meV/atom
magnetic moment	0.08	μB/f.u.
formation energy without anion corrections	-334.5	meV per atom

Record 5
Here is an optimized crystal structure of PrMg7Al5 from Alexandria. Energies are from GGA-PBE.

abc: 5.6198 7.5340 7.5340
angles: 81.59 68.10 68.10
Last column: nearest neighbours and their distance in Å.
Positions (direct):
Pr: 0.0124 0.9876 0.9876  10 Mg 3.40-3.63, 6 Al 3.44-3.63
Mg: 0.6539 0.3461 0.3461  5 Mg 2.97-3.25, 4 Al 3.04
Mg: 0.3546 0.6454 0.6454  3 Mg 2.97-3.20, 6 Al 2.97-3.15
Mg: 0.9974 0.3535 0.6517  4 Mg 2.94-3.18, 5 Al 3.00-3.19
Mg: 0.9974 0.6517 0.3535  4 Mg 2.94-3.18, 5 Al 3.00-3.19
Mg: 0.2816 0.2184 0.2184  4 Al 2.91, 6 Mg 2.99-3.18
Mg: 0.4991 0.7913 0.2105  5 Al 2.86-2.95, 4 Mg 2.99-3.20
Mg: 0.4991 0.2105 0.7913  5 Al 2.86-2.95, 4 Mg 2.99-3.20
Al: 0.4971 0.9956 0.5083  3 Al 2.80-2.82, 7 Mg 2.86-3.04
Al: 0.9990 0.9956 0.5083  3 Al 2.80-2.82, 7 Mg 2.86-3.04
Al: 0.4971 0.5083 0.9956  3 Al 2.80-2.82, 7 Mg 2.86-3.04
Al: 0.9990 0.5083 0.9956  3 Al 2.80-2.82, 7 Mg 2.86-3.04
Al: 0.7122 0.7878 0.7878  4 Al 2.81, 2 Mg 2.95

ΔH_f (0 K)	-11	kJ/mol of atoms
magnetic moment	0.00	μB/f.u.

Record 6
Here is an optimized crystal structure of Ba2Zn5Au5 from Alexandria. Energies are from GGA-PBE.

abc: 4.4206 5.6824 10.4406
angles: 90.00 90.00 90.00
Last column: nearest neighbours and their distance in Å.
Positions (direct):
Ba: 0.0000 0.5000 0.0000  10 Au 3.43-3.60, 8 Zn 3.69
Ba: 0.0000 0.0000 0.5000  6 Au 3.30-3.35, 4 Zn 3.60
Zn: 0.5000 0.5000 0.5000  4 Au 2.84, 4 Zn 2.99
Zn: 0.5000 0.7490 0.2478  5 Au 2.71-2.95, 3 Zn 2.83-2.99
Zn: 0.5000 0.2510 0.7522  5 Au 2.71-2.95, 3 Zn 2.83-2.99
Zn: 0.5000 0.2510 0.2478  5 Au 2.71-2.95, 3 Zn 2.83-2.99
Zn: 0.5000 0.7490 0.7522  5 Au 2.71-2.95, 3 Zn 2.83-2.99
Au: 0.0000 0.5000 0.3291  6 Zn 2.76-2.84
Au: 0.0000 0.0000 0.8159  4 Zn 2.71, 2 Au 2.93
Au: 0.0000 0.0000 0.1841  4 Zn 2.71, 2 Au 2.93
Au: 0.0000 0.5000 0.6709  6 Zn 2.76-2.84
Au: 0.5000 0.0000 0.0000  4 Au 2.93, 4 Zn 2.95

ΔH_f (0 K)	-40	kJ/mol of atoms
magnetic moment	0.00	μB/f.u.

Record 7
Here is an optimized crystal structure of Mg6BSb from Alexandria. Energies are from GGA-PBE.

abc: 7.0984 7.0984 4.4877
angles: 90.00 90.00 130.06
Last column: nearest neighbours and their distance in Å.
Positions (direct):
Mg: 0.1824 0.3100 0.0000  1 B 2.39
Mg: 0.6900 0.8176 0.0000  1 B 2.39
Mg: 0.6745 0.3255 0.0000  6 Mg 2.93-2.94, 2 B 3.22
Mg: 0.3262 0.1210 0.5000  2 B 2.63, 3 Mg 2.68-2.94
Mg: 0.8790 0.6738 0.5000  2 B 2.63, 3 Mg 2.68-2.94
Mg: 0.8214 0.1786 0.5000  8 Mg 2.93-3.27, 2 Sb 3.01
B: 0.0824 0.9176 0.0000  6 Mg 2.39-2.63
Sb: 0.3440 0.6560 0.5000  6 Mg 2.96-3.01

relative energy among the computed polymorphs	63.7	meV/atom
magnetic moment	0.00	μB/f.u.
formation energy without anion corrections	218.2	meV per atom

Record 8
Here is an optimized crystal structure of RbNbCl6 from Alexandria. Energies are from GGA-PBE.

abc: 7.0223 7.0223 12.4333
angles: 79.87 79.87 57.07
Last column: nearest neighbours and their distance in Å.
Positions (direct):
Rb: 0.9181 0.0819 0.7500  12 Cl 3.60-4.03
Rb: 0.0819 0.9181 0.2500  12 Cl 3.60-4.03
Nb: 0.5000 0.0000 0.5000  6 Cl 2.38-2.39
Nb: 0.0000 0.5000 0.0000  6 Cl 2.38-2.39
Cl: 0.4717 0.6957 0.6042  1 Nb 2.38
Cl: 0.5283 0.3043 0.3958  1 Nb 2.38
Cl: 0.3043 0.5283 0.8958  1 Nb 2.38
Cl: 0.6957 0.4717 0.1042  1 Nb 2.38
Cl: 0.3972 0.1829 0.6635  1 Nb 2.39
Cl: 0.6028 0.8171 0.3365  1 Nb 2.39
Cl: 0.8171 0.6028 0.8365  1 Nb 2.39
Cl: 0.1829 0.3972 0.1635  1 Nb 2.39
Cl: 0.8044 0.8934 0.0291  1 Nb 2.39
Cl: 0.1956 0.1066 0.9709  1 Nb 2.39
Cl: 0.1066 0.1956 0.4709  1 Nb 2.39
Cl: 0.8934 0.8044 0.5291  1 Nb 2.39

relative energy among the computed polymorphs	0.0	meV/atom
magnetic moment	0.00	μB/f.u.
formation energy without anion corrections	-1458.6	meV per atom

- Which value of magnetic moment does entry 3 give?
  0.88 μB/f.u.